Entry from Alexandria: Li4Cr3Cu3Te2O16 after structural relaxation (PBE with a Hubbard U).

abc: 5.9835 5.9835 9.7915
angles: 92.76 92.76 58.94
Sites, in units of the cell vectors:
Li (0.0000, 0.0000, 0.0000)
Li (0.0120, 0.0120, 0.5064)
Li (0.3477, 0.3477, 0.4336)
Li (0.6633, 0.6633, 0.9338)
Cr (0.1798, 0.1798, 0.7340)
Cr (0.3492, 0.8408, 0.2328)
Cr (0.8408, 0.3492, 0.2328)
Cu (0.1786, 0.6706, 0.7298)
Cu (0.6706, 0.1786, 0.7298)
Cu (0.8406, 0.8406, 0.2300)
Te (0.3336, 0.3336, 0.0036)
Te (0.6833, 0.6833, 0.5022)
O (0.0088, 0.0088, 0.8118)
O (0.0102, 0.0102, 0.3195)
O (0.0278, 0.4667, 0.8803)
O (0.1755, 0.1755, 0.1186)
O (0.1802, 0.6684, 0.1073)
O (0.3412, 0.3412, 0.6395)
O (0.3628, 0.8500, 0.6040)
O (0.4667, 0.0278, 0.8803)
O (0.4768, 0.4768, 0.8719)
O (0.5193, 0.9763, 0.3707)
O (0.5309, 0.5309, 0.3623)
O (0.6684, 0.1802, 0.1073)
O (0.6736, 0.6736, 0.1343)
O (0.8500, 0.3628, 0.6040)
O (0.8504, 0.8504, 0.6059)
O (0.9763, 0.5193, 0.3707)

Calculated values
Size of the total moment (Bohr magnetons per cell): 6.3
Final energy (eV/atom): -5.988
Volume (Å³/cell): 299.85